VASP calculation (PBE) on crystalline CaY2Cl at its relaxed geometry.

POSCAR file:
```
CaY2Cl
1.0
-5.173 -7.193 -1.203
1.633 0.295 -8.786
0.699 -5.291 -4.597
Y Cl Ca
4 2 2
Cartesian
-2.723 -10.031 -11.380 Y
-0.653 -6.528 -8.002 Y
0.073 -2.699 -6.902 Y
-2.378 -5.120 -2.889 Y
-1.770 -3.449 -4.994 Cl
0.281 -4.223 -9.189 Cl
0.000 0.000 0.000 Ca
-3.122 -7.967 -5.397 Ca
```

Summary:
formation energy from raw total energies	-0.401	eV per atom
symmetry	I-42d (122)
magnetization	1.7	μB per cell
energy above the most stable polymorph in this dataset	0.329	eV per atom